GaRe2Si2 (PBE, optimized geometry); formation energy (no corrections) = -0.10 eV per atom; uncorrected energy = -7.857 eV per atom
1.0
-1.694 1.694 6.438
1.694 -1.694 6.438
1.694 1.694 -6.438
Ga Re Si
1 2 2
Direct
0.000 0.000 0.000
0.390 0.390 0.000
0.610 0.610 0.000
0.250 0.750 0.500
0.750 0.250 0.500